# 1
Density functional theory data (meta-GGA SCAN) for a PBEsol-optimized structure of LiCd2Ni.

## Properties
magnetic moment = 0.001 μB per atom
ΔH_f (0 K) = -38 meV/atom
ΔE to the lowest computed polymorph = 84.4 meV per atom
crystal system = tetragonal
total energy = -79.5 eV per cell
space-group type = No. 119

Geometry as POSCAR:
```
LiCd2Ni
1.0
-1.667 -3.409 0.506
1.931 -0.459 3.273
-3.271 3.782 0.221
Cd Li Ni
2 1 1
Direct
0.000 0.000 0.000
0.750 0.250 0.500
0.500 0.500 0.000
0.250 0.750 0.500
```

***

# 2
Density functional theory data (meta-GGA SCAN) for a PBEsol-optimized structure of CsMgSi2.

## Properties
magnetic moment = 0.000 μB per atom
crystal system = tetragonal
formation energy (no corrections) = 39 kJ per mole of atoms
total energy = -122.4 eV per cell
space-group type = No. 141

Geometry as POSCAR:
```
CsMgSi2
1.0
-3.620 -3.104 1.951
2.478 -4.092 -1.912
5.451 2.866 7.873
Cs Mg Si
2 2 4
Direct
0.250 0.750 0.500
0.000 0.000 0.000
0.750 0.250 0.500
0.500 0.500 0.000
0.625 0.375 0.750
0.625 0.875 0.250
0.125 0.375 0.750
0.625 0.375 0.250
```

***

# 3
Density functional theory data (meta-GGA SCAN) for a PBEsol-optimized structure of Ta5Mo3.

## Properties
magnetic moment = 0.000 μB per atom
ΔH_f (0 K) = -106 meV/atom
ΔE to the lowest computed polymorph = 44.2 meV per atom
crystal system = monoclinic
total energy = -438.4 eV per cell
space-group type = No. 12

Geometry as POSCAR:
```
Ta5Mo3
1.0
-0.452 4.075 -3.381
-4.325 -3.025 0.620
0.036 2.725 4.871
Mo Ta
3 5
Direct
0.000 0.000 0.000
0.500 0.500 0.000
0.000 0.000 0.500
0.499 0.008 0.752
0.501 0.992 0.248
0.992 0.501 0.248
0.500 0.500 0.500
0.008 0.499 0.752
```

***

# 4
Density functional theory data (meta-GGA SCAN) for a PBEsol-optimized structure of LiRuRhO4.

## Properties
magnetic moment = 0.286 μB per atom
crystal system = orthorhombic
formation energy (no corrections) = -129 kJ per mole of atoms
total energy = -210.6 eV per cell
space-group type = No. 74

Geometry as POSCAR:
```
LiRuRhO4
1.0
5.813 0.000 0.000
2.907 5.192 -0.033
2.907 1.596 4.940
Ru O Rh Li
2 8 2 2
Direct
0.500 0.500 0.000
0.000 0.500 0.000
0.244 0.735 0.777
0.756 0.723 0.765
0.756 0.265 0.223
0.244 0.277 0.235
0.760 0.262 0.762
0.216 0.262 0.762
0.784 0.738 0.238
0.240 0.738 0.238
0.000 0.000 0.000
0.000 0.500 0.500
0.628 0.122 0.622
0.372 0.878 0.378
```

***

# 5
Density functional theory data (meta-GGA SCAN) for a PBEsol-optimized structure of Hg3W.

## Properties
magnetic moment = 0.000 μB per atom
ΔH_f (0 K) = 795 meV/atom
ΔE to the lowest computed polymorph = 99.6 meV per atom
crystal system = orthorhombic
total energy = -271.0 eV per cell
space-group type = No. 25

Geometry as POSCAR:
```
Hg3W
1.0
2.979 0.000 0.000
0.000 4.825 0.000
0.000 0.000 5.298
Hg W
3 1
Direct
0.000 0.000 0.016
0.500 0.500 0.832
0.500 0.000 0.486
0.000 0.500 0.334
```

***

# 6
Density functional theory data (meta-GGA SCAN) for a PBEsol-optimized structure of SrCoTc.

## Properties
magnetic moment = 1.452 μB per atom
ΔH_f (0 K) = 2068 meV/atom
crystal system = cubic
total energy = -68.4 eV per cell
space-group type = No. 216

Geometry as POSCAR:
```
SrCoTc
1.0
4.487 0.000 0.000
2.243 3.886 0.000
2.243 1.295 3.663
Sr Tc Co
1 1 1
Direct
0.250 0.250 0.250
0.000 0.000 0.000
0.500 0.500 0.500
```

***

For reference, density of states at the Fermi level by record: 1.8, 3.4, 7.6, 5.0, 1.7, 1.2 states/eV/cell.